Below is a relaxed structure of Nd2TeH, with properties calculated at the PBE level.

abc: 7.752 6.404 8.117
angles: 90.00 79.04 90.00
Element x y z (fractional)
H  0.733  0.157  0.702
Nd  0.479  0.342  0.829
Te  0.833  0.635  0.838
Nd  0.979  0.158  0.829
H  0.767  0.657  0.298
Te  0.667  0.135  0.162
Nd  0.679  0.856  0.542
Nd  0.821  0.356  0.458
H  0.267  0.843  0.298
Te  0.167  0.365  0.162
Nd  0.521  0.658  0.171
Nd  0.321  0.144  0.458
Te  0.333  0.865  0.838
Nd  0.021  0.842  0.171
Nd  0.179  0.644  0.542
H  0.233  0.343  0.702

## Properties
ΔE to the lowest computed polymorph (meV/atom): 0
Space group: P2_1/c, No. 14

=====

Below is a relaxed structure of Nd3Te3H2, with properties calculated at the PBE level.

abc: 4.135 6.107 16.559
angles: 90.00 90.00 109.79
Element x y z (fractional)
Nd  0.351  0.702  0.561
Te  0.341  0.682  0.750
Nd  0.649  0.298  0.439
Nd  0.370  0.741  0.250
Nd  0.649  0.298  0.061
H  0.769  0.537  0.949
Te  0.934  0.868  0.397
Te  0.934  0.868  0.103
H  0.231  0.463  0.449
H  0.231  0.463  0.051
H  0.769  0.537  0.551
Te  0.066  0.132  0.897
Nd  0.351  0.702  0.939
Nd  0.630  0.259  0.750
Te  0.659  0.318  0.250
Te  0.066  0.132  0.603

## Properties
Space group: Cmcm, No. 63

=====

Below is a relaxed structure of Nd4Te4H, with properties calculated at the PBE level.

abc: 6.328 9.050 9.050
angles: 90.00 90.00 90.00
Element x y z (fractional)
Te  0.218  0.776  0.500
Nd  0.721  0.283  0.500
Te  0.718  0.000  0.724
Nd  0.779  0.217  0.000
Nd  0.721  0.717  0.500
H  0.000  0.000  0.000
Nd  0.221  0.000  0.217
Te  0.282  0.276  0.000
Te  0.218  0.224  0.500
Nd  0.279  0.500  0.283
Te  0.282  0.724  0.000
Nd  0.221  0.000  0.783
Te  0.782  0.500  0.776
Te  0.782  0.500  0.224
Nd  0.279  0.500  0.717
H  0.500  0.500  0.500
Nd  0.779  0.783  0.000
Te  0.718  0.000  0.276

## Properties
Space group: P4_2/nmc, No. 137

=====

Below is a relaxed structure of Nd3Te2H2, with properties calculated at the PBE level.

abc: 4.203 4.624 9.169
angles: 104.64 103.32 89.96
Element x y z (fractional)
Te  0.180  0.179  0.357
Nd  0.626  0.625  0.250
H  0.500  0.256  0.000
H  0.500  0.744  0.000
Nd  0.374  0.375  0.750
Te  0.820  0.821  0.643
Nd  0.000  0.000  0.000

## Properties
Space group: C2/m, No. 12

=====

Below is a relaxed structure of Nd3TeH3, with properties calculated at the PBE level.

abc: 6.487 6.487 6.487
angles: 90.00 90.00 90.00
Element x y z (fractional)
H  0.500  0.250  0.000
Nd  0.000  0.250  0.500
H  0.250  0.000  0.500
Nd  0.500  0.000  0.750
Nd  0.500  0.000  0.250
Nd  0.000  0.750  0.500
Te  0.000  0.000  0.000
Te  0.500  0.500  0.500
H  0.500  0.750  0.000
H  0.000  0.500  0.250
Nd  0.250  0.500  0.000
H  0.750  0.000  0.500
Nd  0.750  0.500  0.000
H  0.000  0.500  0.750

## Properties
Space group: Pm-3n, No. 223

=====

Below is a relaxed structure of Nd3Te2H, with properties calculated at the PBE level.

abc: 6.247 8.289 8.289
angles: 117.88 90.00 90.00
Element x y z (fractional)
Nd  0.975  0.090  0.090
Te  0.470  0.492  0.801
Nd  0.468  0.417  0.136
H  0.607  0.168  0.168
Te  0.970  0.508  0.199
Nd  0.475  0.910  0.910
H  0.107  0.832  0.832
Te  0.470  0.801  0.492
Nd  0.968  0.583  0.864
Nd  0.468  0.136  0.417
Te  0.970  0.199  0.508
Nd  0.968  0.864  0.583

## Properties
Space group: Cmc2_1, No. 36

=====

Sequential theoretical density output: 7.00; 6.90; 6.97; 6.84; 6.86; 6.03 g/cm³
Sequential raw total energy output: -4.9033; -4.9572; -5.1833; -4.9005; -4.5493; -4.8572 eV/atom
Sequential DOS(E_F) output: 0.45; 0.38; 0.68; 0.61; 0.95; 0.81 states/eV/atom